1.
Below is an optimized crystal structure of Zn3CoHg, with properties calculated at the PBE-GGA level.

**Polymorph energy (0 for the lowest one)**: 0.000 eV/atom
**Size of the total moment**: 0.00 μB per formula unit
**Uncorrected energy**: -9.48 eV/cell
**Formation energy**: 0.35 eV per atom
**SG**: Pm-3m (221)

```
Zn3CoHg
1.0
4.613 0.000 0.000
0.000 4.613 0.000
0.000 0.000 4.613
Zn Co Hg
3 1 1
Direct
0.000 0.000 0.500 Zn
0.000 0.500 0.000 Zn
0.500 0.000 0.000 Zn
0.000 0.000 0.000 Co
0.500 0.500 0.500 Hg
```

2.
Below is an optimized crystal structure of ZnCoHg2, with properties calculated at the PBE-GGA level.

**Size of the total moment**: 1.36 μB per formula unit
**Uncorrected energy**: -7.19 eV/cell
**Formation energy**: 0.45 eV per atom
**SG**: F-43m (216)

```
ZnCoHg2
1.0
0.000 3.272 3.272
3.272 0.000 3.272
3.272 3.272 0.000
Zn Co Hg
1 1 2
Direct
0.000 0.000 0.000 Zn
0.750 0.750 0.750 Co
0.250 0.250 0.250 Hg
0.500 0.500 0.500 Hg
```

3.
Below is an optimized crystal structure of Zn2Co2Hg, with properties calculated at the PBE-GGA level.

**Polymorph energy (0 for the lowest one)**: 0.062 eV/atom
**Size of the total moment**: 1.51 μB per formula unit
**Uncorrected energy**: -31.64 eV/cell
**Formation energy**: 0.25 eV per atom
**SG**: P4/mbm (127)

```
Zn2Co2Hg
1.0
7.115 0.000 0.000
0.000 7.115 0.000
0.000 0.000 2.795
Zn Co Hg
4 4 2
Direct
0.128 0.372 0.000 Zn
0.372 0.872 0.000 Zn
0.628 0.128 0.000 Zn
0.872 0.628 0.000 Zn
0.166 0.666 0.500 Co
0.334 0.166 0.500 Co
0.666 0.834 0.500 Co
0.834 0.334 0.500 Co
0.000 0.000 0.000 Hg
0.500 0.500 0.000 Hg
```

4.
Below is an optimized crystal structure of Zn2Co2Hg, with properties calculated at the PBE-GGA level.

**Polymorph energy (0 for the lowest one)**: 0.113 eV/atom
**Size of the total moment**: 3.14 μB per formula unit
**Uncorrected energy**: -15.57 eV/cell
**Formation energy**: 0.30 eV per atom
**SG**: I4/mmm (139)

```
Zn2Co2Hg
1.0
-1.685 1.685 7.088
1.685 -1.685 7.088
1.685 1.685 -7.088
Zn Co Hg
2 2 1
Direct
0.116 0.116 0.000 Zn
0.884 0.884 0.000 Zn
0.250 0.750 0.500 Co
0.750 0.250 0.500 Co
0.500 0.500 0.000 Hg
```

5.
Below is an optimized crystal structure of ZnCoHg2, with properties calculated at the PBE-GGA level.

**Size of the total moment**: 1.50 μB per formula unit
**Uncorrected energy**: -7.30 eV/cell
**Formation energy**: 0.42 eV per atom
**SG**: R-3m (166)

```
ZnCoHg2
1.0
1.523 0.879 9.073
-1.523 0.879 9.073
0.000 -1.759 9.073
Zn Co Hg
1 1 2
Direct
0.000 0.000 0.000 Zn
0.500 0.500 0.500 Co
0.245 0.245 0.245 Hg
0.755 0.755 0.755 Hg
```

6.
Below is an optimized crystal structure of ZnCoHg2, with properties calculated at the PBE-GGA level.

**Size of the total moment**: 1.68 μB per formula unit
**Uncorrected energy**: -13.90 eV/cell
**Formation energy**: 0.51 eV per atom
**SG**: I-42d (122)

```
ZnCoHg2
1.0
-2.063 2.063 9.321
2.063 -2.063 9.321
2.063 2.063 -9.321
Zn Co Hg
2 2 4
Direct
0.000 0.000 0.000 Zn
0.750 0.250 0.500 Zn
0.250 0.750 0.500 Co
0.500 0.500 0.000 Co
0.132 0.625 0.007 Hg
0.375 0.382 0.507 Hg
0.618 0.125 0.993 Hg
0.875 0.868 0.493 Hg
```

7.
Below is an optimized crystal structure of ZnCoHg2, with properties calculated at the PBE-GGA level.

**Size of the total moment**: 1.30 μB per formula unit
**Uncorrected energy**: -7.69 eV/cell
**Formation energy**: 0.32 eV per atom
**SG**: R3m (160)

```
ZnCoHg2
1.0
1.499 0.865 9.487
-1.499 0.865 9.487
0.000 -1.731 9.487
Zn Co Hg
1 1 2
Direct
0.000 0.000 0.000 Zn
0.270 0.270 0.270 Co
0.528 0.528 0.528 Hg
0.757 0.757 0.757 Hg
```

8.
Below is an optimized crystal structure of ZrZnCoHg, with properties calculated at the PBE-GGA level.

**Size of the total moment**: 1.08 μB per formula unit
**Uncorrected energy**: -17.30 eV/cell
**Formation energy**: -0.02 eV per atom
**SG**: F-43m (216)

```
ZrZnCoHg
1.0
0.000 3.225 3.225
3.225 0.000 3.225
3.225 3.225 0.000
Zr Zn Co Hg
1 1 1 1
Direct
0.000 0.000 0.000 Zr
0.750 0.750 0.750 Zn
0.250 0.250 0.250 Co
0.500 0.500 0.500 Hg
```

9.
Below is an optimized crystal structure of ZrCo3Hg, with properties calculated at the PBE-GGA level.

**Polymorph energy (0 for the lowest one)**: 0.062 eV/atom
**Size of the total moment**: 3.62 μB per formula unit
**Uncorrected energy**: -23.18 eV/cell
**Formation energy**: 1.40 eV per atom
**SG**: Pm-3m (221)

```
ZrCo3Hg
1.0
4.672 0.000 0.000
0.000 4.672 0.000
0.000 0.000 4.672
Zr Co Hg
1 3 1
Direct
0.000 0.000 0.000 Zr
0.000 0.500 0.500 Co
0.500 0.000 0.500 Co
0.500 0.500 0.000 Co
0.500 0.500 0.500 Hg
```

10.
Below is an optimized crystal structure of ZrCo3Hg, with properties calculated at the PBE-GGA level.

**Polymorph energy (0 for the lowest one)**: 0.000 eV/atom
**Size of the total moment**: 1.61 μB per formula unit
**Uncorrected energy**: -23.49 eV/cell
**Formation energy**: 1.34 eV per atom
**SG**: Pm-3m (221)

```
ZrCo3Hg
1.0
4.567 0.000 0.000
0.000 4.567 0.000
0.000 0.000 4.567
Zr Co Hg
1 3 1
Direct
0.000 0.000 0.000 Zr
0.000 0.000 0.500 Co
0.000 0.500 0.000 Co
0.500 0.000 0.000 Co
0.500 0.500 0.500 Hg
```

11.
Below is an optimized crystal structure of ZrCoHg3, with properties calculated at the PBE-GGA level.

**Polymorph energy (0 for the lowest one)**: 0.000 eV/atom
**Size of the total moment**: 0.00 μB per formula unit
**Uncorrected energy**: -13.53 eV/cell
**Formation energy**: 0.61 eV per atom
**SG**: Pm-3m (221)

```
ZrCoHg3
1.0
4.853 0.000 0.000
0.000 4.853 0.000
0.000 0.000 4.853
Zr Co Hg
1 1 3
Direct
0.000 0.000 0.000 Zr
0.500 0.500 0.500 Co
0.000 0.500 0.500 Hg
0.500 0.000 0.500 Hg
0.500 0.500 0.000 Hg
```

12.
Below is an optimized crystal structure of Zr3Co2Hg, with properties calculated at the PBE-GGA level.

**Size of the total moment**: 1.54 μB per formula unit
**Uncorrected energy**: -41.54 eV/cell
**Formation energy**: -0.23 eV per atom
**SG**: P4/mmm (123)

```
Zr3Co2Hg
1.0
3.167 0.000 0.000
0.000 3.167 0.000
0.000 0.000 10.839
Zr Co Hg
3 2 1
Direct
0.000 0.000 0.000 Zr
0.000 0.000 0.297 Zr
0.000 0.000 0.703 Zr
0.500 0.500 0.145 Co
0.500 0.500 0.855 Co
0.500 0.500 0.500 Hg
```

- What is the formula in the third record?
  Zn2Co2Hg

- Among the records above, which one has the highest uncorrected energy?
  number 2

- Number 10 is which compound?
  ZrCo3Hg